1.
Here is a relaxed TiGeF3 crystal from Alexandria. Energies are from PBE-GGA.

Computed properties:
Formation energy without anion corrections (eV per atom): -1.21
Total magnetic moment (μB per formula unit): 3.00
E above lowest polymorph (meV/atom): 686
VASP energy (eV/atom): -4.831

a b c (Å): 4.3952 4.3952 4.3952
angles (deg): 90.00 90.00 90.00
Space group Pm-3m (No. 221)
Asymmetric unit:
1 Ti 0.0000 0.0000 0.0000 x1
2 Ge 0.5000 0.5000 0.5000 x1
3 F 0.0000 0.5000 0.5000 x3

2.
Here is a relaxed Ti2GeF2 crystal from Alexandria. Energies are from PBE-GGA.

Computed properties:
Formation energy without anion corrections (eV per atom): -1.80
Total magnetic moment (μB per formula unit): 0.01
E above lowest polymorph (meV/atom): 0
VASP energy (eV/atom): -6.625

a b c (Å): 3.3988 3.3988 11.1518
angles (deg): 90.00 90.00 90.00
Space group I4/mmm (No. 139)
Asymmetric unit:
1 Ti 0.0000 0.0000 0.1219 x4
2 Ge 0.0000 0.0000 0.5000 x2
3 F 0.0000 0.5000 0.2500 x4

3.
Here is a relaxed TiGe3F crystal from Alexandria. Energies are from PBE-GGA.

Computed properties:
Formation energy without anion corrections (eV per atom): -0.07
Total magnetic moment (μB per formula unit): 0.00
E above lowest polymorph (meV/atom): 0
VASP energy (eV/atom): -4.793

a b c (Å): 4.4490 4.4490 4.4490
angles (deg): 90.00 90.00 90.00
Space group Pm-3m (No. 221)
Asymmetric unit:
1 Ti 0.0000 0.0000 0.0000 x1
2 Ge 0.0000 0.5000 0.5000 x3
3 F 0.5000 0.5000 0.5000 x1

4.
Here is a relaxed Ti2GeF2 crystal from Alexandria. Energies are from PBE-GGA.

Computed properties:
Formation energy without anion corrections (eV per atom): -1.19
Total magnetic moment (μB per formula unit): 0.00
E above lowest polymorph (meV/atom): 610
VASP energy (eV/atom): -6.015

a b c (Å): 7.0457 7.0457 2.6790
angles (deg): 90.00 90.00 90.00
Space group P4/mbm (No. 127)
Asymmetric unit:
1 Ti 0.1742 0.3258 0.0000 x4
2 Ge 0.0000 0.0000 0.0000 x2
3 F 0.1160 0.6160 0.5000 x4